No. 1
CuHgSeCl: optimized geometry, PBE.

a = 4.0953 Å, b = 4.0961 Å, c = 8.1444 Å
α = 75.89°, β = 75.44°, γ = 60.01°
Sites, in units of the cell vectors:
Cu 0.2918 0.5125 0.9039
Hg 0.7406 0.9520 0.5667
Se 0.6270 0.8478 0.8983
Cl 0.4697 0.6757 0.3849

Results
**E_form (uncorrected)**: -247.9 meV/atom
**Offset from the most stable computed form**: 0.43 eV per formula unit

---

No. 2
CuHgSeCl: optimized geometry, PBE.

a = 4.2406 Å, b = 7.3904 Å, c = 12.9765 Å
α = 90.00°, β = 90.00°, γ = 90.00°
Sites, in units of the cell vectors:
Cu 0.5000 0.8114 0.4695
Cu 0.5000 0.3114 0.0305
Cu 0.5000 0.1886 0.5305
Cu 0.5000 0.6886 0.9695
Hg 0.0000 0.5960 0.2473
Hg 0.0000 0.0960 0.2527
Hg 0.0000 0.4040 0.7527
Hg 0.0000 0.9040 0.7473
Se 0.0000 0.8414 0.3874
Se 0.0000 0.6586 0.8874
Se 0.0000 0.1586 0.6126
Se 0.0000 0.3414 0.1126
Cl 0.5000 0.8177 0.1251
Cl 0.5000 0.3177 0.3749
Cl 0.5000 0.1823 0.8749
Cl 0.5000 0.6823 0.6251

Results
**E_form (uncorrected)**: -356.2 meV/atom
**Offset from the most stable computed form**: 0.00 eV per formula unit